1.
A relaxed RbNbTcO6 crystal, computed with PBE-GGA.

Values from the calculation:
Fermi-level density of states: 0.48 states/eV/cell
Raw total energy: -7.569 eV/atom
Raw formation energy: -1.886 eV per atom

a b c (Å): 5.293 5.317 6.276
angles (deg): 91.65 90.94 116.97
Element x y z (fractional)
1 Rb 0.000 0.000 0.000
2 Nb 0.343 0.683 0.456
3 Tc 0.669 0.329 0.534
4 O 0.406 0.019 0.678
5 O 0.430 0.405 0.315
6 O 0.571 0.580 0.689
7 O 0.614 0.015 0.323
8 O 0.994 0.615 0.329
9 O 0.995 0.400 0.670

***

2.
A relaxed Nd3PN5 crystal, computed with PBE-GGA.

Values from the calculation:
Fermi-level density of states: 10.70 states/eV/cell
Raw total energy: -7.939 eV/atom
Raw formation energy: -1.123 eV per atom

a b c (Å): 7.234 7.234 7.234
angles (deg): 124.33 124.33 82.64
Element x y z (fractional)
1 Nd 0.180 0.680 0.860
2 Nd 0.250 0.250 0.000
3 Nd 0.320 0.180 0.500
4 Nd 0.680 0.820 0.500
5 Nd 0.750 0.750 0.000
6 Nd 0.820 0.320 0.140
7 P 0.250 0.750 0.500
8 P 0.750 0.250 0.500
9 N 0.000 0.000 0.000
10 N 0.020 0.790 0.500
11 N 0.210 0.710 0.230
12 N 0.290 0.520 0.500
13 N 0.480 0.980 0.770
14 N 0.500 0.500 0.000
15 N 0.520 0.020 0.230
16 N 0.710 0.480 0.500
17 N 0.790 0.290 0.770
18 N 0.980 0.210 0.500

***

3.
A relaxed NaPmNd crystal, computed with PBE-GGA.

Values from the calculation:
Fermi-level density of states: 7.26 states/eV/cell
Formation enthalpy at 0 K: 3.075 kcal/mol of atoms
Raw total energy: -3.479 eV/atom
ΔE to the lowest computed polymorph: 18 kJ/mol of formula units

a b c (Å): 10.759 10.759 5.744
angles (deg): 90.01 90.01 19.09
Element x y z (fractional)
1 Na 0.208 0.208 0.249
2 Na 0.792 0.792 0.751
3 Pm 0.390 0.390 0.250
4 Pm 0.610 0.610 0.750
5 Nd 0.040 0.040 0.250
6 Nd 0.960 0.960 0.750

***

4.
A relaxed Dy5Tl2Co crystal, computed with PBE-GGA.

Values from the calculation:
Fermi-level density of states: 14.74 states/eV/cell
Formation enthalpy at 0 K: 1.794 kcal/mol of atoms
Raw total energy: -4.278 eV/atom
ΔE to the lowest computed polymorph: 260 kJ/mol of formula units

a b c (Å): 8.810 8.810 12.427
angles (deg): 90.00 90.00 145.86
Element x y z (fractional)
1 Dy 0.081 0.919 0.605
2 Dy 0.081 0.919 0.895
3 Dy 0.290 0.710 0.250
4 Dy 0.295 0.705 0.584
5 Dy 0.295 0.705 0.916
6 Dy 0.705 0.295 0.084
7 Dy 0.705 0.295 0.416
8 Dy 0.710 0.290 0.750
9 Dy 0.919 0.081 0.105
10 Dy 0.919 0.081 0.395
11 Tl 0.105 0.895 0.134
12 Tl 0.105 0.895 0.366
13 Tl 0.895 0.105 0.634
14 Tl 0.895 0.105 0.866
15 Co 0.191 0.809 0.750
16 Co 0.809 0.191 0.250

***

5.
A relaxed Ba3PrIrRuO9 crystal, computed with PBE-GGA.

Values from the calculation:
Fermi-level density of states: 14.10 states/eV/cell
Raw total energy: -6.979 eV/atom
Raw formation energy: -2.092 eV per atom

a b c (Å): 6.015 6.015 15.074
angles (deg): 90.00 90.00 120.00
Element x y z (fractional)
1 Ba 0.000 0.000 0.000
2 Ba 0.000 0.000 0.500
3 Ba 0.333 0.667 0.145
4 Ba 0.333 0.667 0.851
5 Ba 0.667 0.333 0.351
6 Ba 0.667 0.333 0.645
7 Pr 0.000 0.000 0.249
8 Pr 0.000 0.000 0.749
9 Ir 0.333 0.667 0.583
10 Ir 0.667 0.333 0.083
11 Ru 0.333 0.667 0.416
12 Ru 0.667 0.333 0.916
13 O 0.019 0.509 0.500
14 O 0.178 0.357 0.344
15 O 0.178 0.822 0.344
16 O 0.179 0.357 0.659
17 O 0.179 0.821 0.659
18 O 0.357 0.178 0.844
19 O 0.357 0.179 0.159
20 O 0.491 0.509 0.500
21 O 0.491 0.981 0.500
22 O 0.509 0.019 0.000
23 O 0.509 0.491 0.000
24 O 0.643 0.821 0.659
25 O 0.643 0.822 0.344
26 O 0.821 0.179 0.159
27 O 0.821 0.643 0.159
28 O 0.822 0.178 0.844
29 O 0.822 0.643 0.844
30 O 0.981 0.491 0.000